Entry 1:
A geometry-optimized AlN2O2 structure, computed with GGA-PBEsol.

## Properties
E_tot = -5.451 eV per atom

a = 3.5588 Å, b = 3.5588 Å, c = 4.1373 Å
α = 90.00°, β = 90.00°, γ = 90.00°
Closest atoms and distances in Å follow each position.
Positions (direct):
Al (0.0000, 0.0000, 0.0000)  4 O 1.78
O (0.0000, 0.5000, 0.0000)  2 Al 1.78
O (0.5000, 0.0000, 0.0000)  2 Al 1.78
N (0.5000, 0.5000, 0.5000)  4 N 2.52, 8 O 2.73
N (0.0000, 0.0000, 0.5000)  2 Al 2.07



Entry 2:
A geometry-optimized AlOsNO2 structure, computed with GGA-PBEsol.

## Properties
E_tot = -7.128 eV per atom

a = 3.5315 Å, b = 3.5315 Å, c = 3.7735 Å
α = 90.00°, β = 90.00°, γ = 90.00°
Closest atoms and distances in Å follow each position.
Positions (direct):
Os (0.5000, 0.5000, 0.5000)  4 N 2.50, 8 O 2.58
Al (0.0000, 0.0000, 0.0000)  4 O 1.77, 2 N 1.89
O (0.0000, 0.5000, 0.0000)  2 Al 1.77
O (0.5000, 0.0000, 0.0000)  2 Al 1.77
N (0.0000, 0.0000, 0.5000)  2 Al 1.89



Entry 3:
A geometry-optimized AlPNO2 structure, computed with GGA-PBEsol.

## Properties
E_tot = -5.802 eV per atom

a = 3.3398 Å, b = 3.3398 Å, c = 6.4106 Å
α = 90.00°, β = 90.00°, γ = 90.00°
Closest atoms and distances in Å follow each position.
Positions (direct):
P (0.0000, 0.0000, 0.5000)  4 N 2.36
Al (0.0000, 0.0000, 0.0000)  4 O 1.67
O (0.0000, 0.5000, 0.0000)  2 Al 1.67
O (0.5000, 0.0000, 0.0000)  2 Al 1.67
N (0.5000, 0.5000, 0.5000)  4 P 2.36



Entry 4:
A geometry-optimized Pr2AlNO3 structure, computed with GGA-PBEsol.

## Properties
E_tot = -8.339 eV per atom

a = 3.7187 Å, b = 3.7187 Å, c = 6.8004 Å
α = 105.87°, β = 105.87°, γ = 90.00°
Closest atoms and distances in Å follow each position.
Positions (direct):
Pr (0.4797, 0.4797, 0.9593)  5 O 2.40-2.64, 4 N 2.65
Pr (0.1919, 0.1919, 0.3838)  1 N 2.37, 8 O 2.54-2.64
Al (0.8418, 0.8418, 0.6837)  4 O 1.87, 1 N 2.02
O (0.3300, 0.8300, 0.6601)  2 Al 1.87
O (0.8300, 0.3300, 0.6601)  2 Al 1.87
O (0.6711, 0.6711, 0.3422)  1 Al 2.14
N (0.0027, 0.0027, 0.0054)  1 Al 2.02



Entry 5:
A geometry-optimized AlPtN2O structure, computed with GGA-PBEsol.

## Properties
E_tot = -6.180 eV per atom

a = 3.5265 Å, b = 3.7660 Å, c = 3.7660 Å
α = 90.00°, β = 90.00°, γ = 90.00°
Closest atoms and distances in Å follow each position.
Positions (direct):
O (0.5000, 0.0000, 0.0000)  2 Al 1.76
Al (0.0000, 0.0000, 0.0000)  2 O 1.76, 4 N 1.88
Pt (0.5000, 0.5000, 0.5000)  8 N 2.58, 4 O 2.66
N (0.0000, 0.0000, 0.5000)  2 Al 1.88
N (0.0000, 0.5000, 0.0000)  2 Al 1.88



Entry 6:
A geometry-optimized SrAl2SiN2O3 structure, computed with GGA-PBEsol.

## Properties
E_tot = -7.770 eV per atom

a = 4.9289 Å, b = 8.0821 Å, c = 11.3203 Å
α = 90.00°, β = 90.00°, γ = 90.00°
Closest atoms and distances in Å follow each position.
Positions (direct):
Al (0.4949, 0.8371, 0.3378)  3 O 1.75-1.77, 1 N 1.85
Al (0.0051, 0.1629, 0.8378)  3 O 1.75-1.77, 1 N 1.85
Al (0.5051, 0.3371, 0.1622)  3 O 1.75-1.77, 1 N 1.85
Al (0.9949, 0.6629, 0.6622)  3 O 1.75-1.77, 1 N 1.85
Al (0.4840, 0.5291, 0.5426)  2 O 1.76-1.78, 2 N 1.85-1.87
Al (0.0160, 0.4709, 0.0426)  2 O 1.76-1.78, 2 N 1.85-1.87
Al (0.5160, 0.0291, 0.9574)  2 O 1.76-1.78, 2 N 1.85-1.87
Al (0.9840, 0.9709, 0.4574)  2 O 1.76-1.78, 2 N 1.85-1.87
N (0.3296, 0.0199, 0.4041)  1 Si 1.72, 2 Al 1.85
N (0.1704, 0.9801, 0.9041)  1 Si 1.72, 2 Al 1.85
N (0.6704, 0.5199, 0.0959)  1 Si 1.72, 2 Al 1.85
N (0.8296, 0.4801, 0.5959)  1 Si 1.72, 2 Al 1.85
N (0.2879, 0.3444, 0.4912)  2 Si 1.73-1.74, 1 Al 1.87
N (0.2121, 0.6556, 0.9912)  2 Si 1.73-1.74, 1 Al 1.87
N (0.7121, 0.8444, 0.0088)  2 Si 1.73-1.74, 1 Al 1.87
N (0.7879, 0.1556, 0.5088)  2 Si 1.73-1.74, 1 Al 1.87
O (0.4508, 0.6526, 0.4157)  2 Al 1.75-1.76
O (0.0492, 0.3474, 0.9157)  2 Al 1.75-1.76
O (0.5492, 0.1526, 0.0843)  2 Al 1.75-1.76
O (0.9508, 0.8474, 0.5843)  2 Al 1.75-1.76
O (0.3489, 0.6323, 0.6688)  2 Al 1.76-1.78
O (0.1511, 0.3677, 0.1688)  2 Al 1.76-1.78
O (0.6511, 0.1323, 0.8312)  2 Al 1.76-1.78
O (0.8489, 0.8677, 0.3312)  2 Al 1.76-1.78
O (0.6322, 0.2929, 0.3051)  1 Si 1.67, 1 Al 1.77
O (0.8678, 0.7071, 0.8051)  1 Si 1.67, 1 Al 1.77
O (0.3678, 0.7929, 0.1949)  1 Si 1.67, 1 Al 1.77
O (0.1322, 0.2071, 0.6949)  1 Si 1.67, 1 Al 1.77
Si (0.5025, 0.2024, 0.4252)  1 O 1.67, 3 N 1.72-1.74
Si (0.9975, 0.7976, 0.9252)  1 O 1.67, 3 N 1.72-1.74
Si (0.4975, 0.7024, 0.0748)  1 O 1.67, 3 N 1.72-1.74
Si (0.0025, 0.2976, 0.5748)  1 O 1.67, 3 N 1.72-1.74
Sr (0.4842, 0.9578, 0.6640)  4 O 2.50-2.71
Sr (0.0158, 0.0422, 0.1640)  4 O 2.50-2.71
Sr (0.5158, 0.4578, 0.8360)  4 O 2.50-2.71
Sr (0.9842, 0.5422, 0.3360)  4 O 2.50-2.71



Entry 7:
A geometry-optimized Sm2AlNO3 structure, computed with GGA-PBEsol.

## Properties
E_tot = -8.386 eV per atom

a = 3.6591 Å, b = 3.6591 Å, c = 6.6655 Å
α = 105.93°, β = 105.93°, γ = 90.00°
Closest atoms and distances in Å follow each position.
Positions (direct):
Sm (0.4810, 0.4810, 0.9621)  1 O 2.30
Sm (0.1922, 0.1922, 0.3843)  1 N 2.30, 4 O 2.49
Al (0.8424, 0.8424, 0.6847)  4 O 1.84, 1 N 1.99
O (0.3293, 0.8293, 0.6585)  2 Al 1.84
O (0.8293, 0.3293, 0.6585)  2 Al 1.84
O (0.6686, 0.6686, 0.3371)  1 Al 2.14, 1 Sm 2.30
N (0.0047, 0.0047, 0.0093)  1 Al 1.99



Entry 8:
A geometry-optimized AlSnN2O structure, computed with GGA-PBEsol.

## Properties
E_tot = -6.279 eV per atom

a = 3.6129 Å, b = 3.8459 Å, c = 3.8459 Å
α = 90.00°, β = 90.00°, γ = 90.00°
Closest atoms and distances in Å follow each position.
Positions (direct):
N (0.0000, 0.0000, 0.5000)  2 Al 1.92
N (0.0000, 0.5000, 0.0000)  2 Al 1.92
Sn (0.5000, 0.5000, 0.5000)  8 N 2.64, 4 O 2.72
O (0.5000, 0.0000, 0.0000)  2 Al 1.81
Al (0.0000, 0.0000, 0.0000)  2 O 1.81, 4 N 1.92



Entry 9:
A geometry-optimized SrAlNO2 structure, computed with GGA-PBEsol.

## Properties
E_tot = -4.431 eV per atom

a = 4.5504 Å, b = 4.5504 Å, c = 4.8387 Å
α = 90.00°, β = 90.00°, γ = 90.00°
Closest atoms and distances in Å follow each position.
Positions (direct):
Sr (0.0000, 0.0000, 0.0000)  4 O 2.28, 2 N 2.42
Al (0.5000, 0.5000, 0.5000)  4 N 3.22, 8 O 3.32
O (0.0000, 0.5000, 0.0000)  2 Sr 2.28
O (0.5000, 0.0000, 0.0000)  2 Sr 2.28
N (0.0000, 0.0000, 0.5000)  2 Sr 2.42



Entry 10:
A geometry-optimized AlWN2O structure, computed with GGA-PBEsol.

## Properties
E_tot = -7.975 eV per atom

a = 3.4010 Å, b = 3.7033 Å, c = 3.7033 Å
α = 90.00°, β = 90.00°, γ = 90.00°
Closest atoms and distances in Å follow each position.
Positions (direct):
O (0.5000, 0.0000, 0.0000)  2 Al 1.70
Al (0.0000, 0.0000, 0.0000)  2 O 1.70, 4 N 1.85
W (0.5000, 0.5000, 0.5000)  8 N 2.51, 4 O 2.62
N (0.0000, 0.0000, 0.5000)  2 Al 1.85
N (0.0000, 0.5000, 0.0000)  2 Al 1.85



Entry 11:
A geometry-optimized AlOsSN2 structure, computed with GGA-PBEsol.

## Properties
E_tot = -7.131 eV per atom

a = 3.7538 Å, b = 3.7538 Å, c = 5.0963 Å
α = 90.00°, β = 90.00°, γ = 90.00°
Closest atoms and distances in Å follow each position.
Positions (direct):
S (0.0000, 0.0000, 0.5000)  2 Os 2.55, 4 Al 2.65
Os (0.0000, 0.0000, 0.0000)  4 N 1.88
Al (0.5000, 0.5000, 0.5000)  4 S 2.65
N (0.0000, 0.5000, 0.0000)  2 Os 1.88
N (0.5000, 0.0000, 0.0000)  2 Os 1.88



Entry 12:
A geometry-optimized AlPbN2 structure, computed with GGA-PBEsol.

## Properties
E_tot = -5.828 eV per atom

a = 3.4905 Å, b = 3.4905 Å, c = 6.2800 Å
α = 73.86°, β = 73.86°, γ = 60.00°
Closest atoms and distances in Å follow each position.
Positions (direct):
Pb (0.5000, 0.5000, 0.5000)  6 N 2.34
Al (0.0000, 0.0000, 0.0000)  2 N 1.79
N (0.8996, 0.8996, 0.3011)  1 Al 1.79
N (0.1004, 0.1004, 0.6989)  1 Al 1.79



Entry 13:
A geometry-optimized AlPbS2N structure, computed with GGA-PBEsol.

## Properties
E_tot = -5.198 eV per atom

a = 3.7314 Å, b = 4.8480 Å, c = 4.8480 Å
α = 90.00°, β = 90.00°, γ = 90.00°
Closest atoms and distances in Å follow each position.
Positions (direct):
Pb (0.5000, 0.5000, 0.5000)  8 S 3.06
S (0.0000, 0.0000, 0.5000)  2 Al 2.42
S (0.0000, 0.5000, 0.0000)  2 Al 2.42
Al (0.0000, 0.0000, 0.0000)  2 N 1.87
N (0.5000, 0.0000, 0.0000)  2 Al 1.87



Entry 14:
A geometry-optimized ZrAlPb2N structure, computed with GGA-PBEsol.

## Properties
E_tot = -5.860 eV per atom

a = 4.2335 Å, b = 5.0450 Å, c = 5.0450 Å
α = 90.00°, β = 90.00°, γ = 90.00°
Closest atoms and distances in Å follow each position.
Positions (direct):
Pb (0.0000, 0.0000, 0.5000)  2 N 2.52
Pb (0.0000, 0.5000, 0.0000)  2 N 2.52
Al (0.5000, 0.5000, 0.5000)  8 Pb 3.29, 4 Zr 3.57
Zr (0.5000, 0.0000, 0.0000)  2 N 2.12
N (0.0000, 0.0000, 0.0000)  2 Zr 2.12



Entry 15:
A geometry-optimized Al3PdN structure, computed with GGA-PBEsol.

## Properties
E_tot = -4.538 eV per atom

a = 4.6400 Å, b = 4.6400 Å, c = 4.6400 Å
α = 90.00°, β = 90.00°, γ = 90.00°
Closest atoms and distances in Å follow each position.
Positions (direct):
Al (0.0000, 0.5000, 0.0000)  2 Pd 2.32
Al (0.0000, 0.0000, 0.5000)  2 Pd 2.32
Al (0.5000, 0.0000, 0.0000)  2 Pd 2.32
Pd (0.0000, 0.0000, 0.0000)  6 Al 2.32
N (0.5000, 0.5000, 0.5000)  12 Al 3.28



Entry 16:
A geometry-optimized AlPd2N structure, computed with GGA-PBEsol.

## Properties
E_tot = -5.706 eV per atom

a = 4.1338 Å, b = 4.1338 Å, c = 4.1338 Å
α = 60.00°, β = 60.00°, γ = 60.00°
Closest atoms and distances in Å follow each position.
Positions (direct):
Al (0.5000, 0.5000, 0.5000)  8 Pd 2.53
Pd (0.2500, 0.2500, 0.2500)  4 Al 2.53, 4 N 2.53
Pd (0.7500, 0.7500, 0.7500)  4 Al 2.53, 4 N 2.53
N (0.0000, 0.0000, 0.0000)  8 Pd 2.53



Entry 17:
A geometry-optimized AlPdS2N structure, computed with GGA-PBEsol.

## Properties
E_tot = -4.891 eV per atom

a = 3.6066 Å, b = 4.8188 Å, c = 4.8188 Å
α = 90.00°, β = 90.00°, γ = 90.00°
Closest atoms and distances in Å follow each position.
Positions (direct):
S (0.0000, 0.0000, 0.5000)  2 Pd 2.41
S (0.0000, 0.5000, 0.0000)  2 Pd 2.41
Al (0.5000, 0.5000, 0.5000)  8 S 3.01
Pd (0.0000, 0.0000, 0.0000)  2 N 1.80
N (0.5000, 0.0000, 0.0000)  2 Pd 1.80



Entry 18:
A geometry-optimized AlTlPtN2 structure, computed with GGA-PBEsol.

## Properties
E_tot = -4.277 eV per atom

a = 4.1086 Å, b = 4.1086 Å, c = 5.4155 Å
α = 90.00°, β = 90.00°, γ = 90.00°
Closest atoms and distances in Å follow each position.
Positions (direct):
Tl (0.0000, 0.0000, 0.0000)  4 N 2.05
Al (0.5000, 0.5000, 0.5000)  4 Pt 2.91
Pt (0.0000, 0.0000, 0.5000)  2 Tl 2.71, 4 Al 2.91
N (0.0000, 0.5000, 0.0000)  2 Tl 2.05
N (0.5000, 0.0000, 0.0000)  2 Tl 2.05



Entry 19:
A geometry-optimized Rb2AlRuN structure, computed with GGA-PBEsol.

## Properties
E_tot = -3.934 eV per atom

a = 3.4162 Å, b = 6.7688 Å, c = 6.7688 Å
α = 90.00°, β = 90.00°, γ = 90.00°
Closest atoms and distances in Å follow each position.
Positions (direct):
Ru (0.5000, 0.5000, 0.5000)  2 Ru 3.42, 8 Rb 3.79
Al (0.0000, 0.0000, 0.0000)  2 N 1.71
Rb (0.0000, 0.0000, 0.5000)  2 Al 3.38, 2 Rb 3.42
Rb (0.0000, 0.5000, 0.0000)  2 Al 3.38, 2 Rb 3.42
N (0.5000, 0.0000, 0.0000)  2 Al 1.71



Entry 20:
A geometry-optimized RbAlTcN2 structure, computed with GGA-PBEsol.

## Properties
E_tot = -4.803 eV per atom

a = 3.8551 Å, b = 3.8551 Å, c = 5.2609 Å
α = 90.00°, β = 90.00°, γ = 90.00°
Closest atoms and distances in Å follow each position.
Positions (direct):
N (0.0000, 0.5000, 0.0000)  2 Al 1.93
N (0.5000, 0.0000, 0.0000)  2 Al 1.93
Tc (0.5000, 0.5000, 0.5000)  4 Rb 2.73
Rb (0.0000, 0.0000, 0.5000)  2 Al 2.63, 4 Tc 2.73
Al (0.0000, 0.0000, 0.0000)  4 N 1.93